(1)
The following is a DFT calculation (GGA+U) of a geometry-optimized CoCuSeO6 structure.

Unit cell a=4.8246 b=4.8246 c=8.8000 alpha=90.00 beta=90.00 gamma=120.00
Closest atoms and distances in Å follow each position.
Space group P-31c (No. 163)
Unique sites:
Co1 0.3333 0.6667 0.2500  6 O 1.87
Cu1 0.0000 0.0000 0.0000  6 O 2.10
Se1 0.3333 0.6667 0.7500  6 O 1.84
O1 0.0059 0.3639 0.6337  1 Se 1.84, 1 Co 1.87

## Properties
- Volume: 177 Å³ per cell
- Total magnetic moment: 4.07 Bohr magnetons per cell
- DFT total energy: -47.28 eV/f.u.

=====

(2)
The following is a DFT calculation (GGA+U) of a geometry-optimized CoCuSi2O structure.

Unit cell a=4.6024 b=4.6024 c=3.3858 alpha=90.00 beta=90.00 gamma=90.00
Closest atoms and distances in Å follow each position.
Space group P4/mmm (No. 123)
Unique sites:
Co1 0.0000 0.0000 0.0000  2 O 1.69
Cu1 0.5000 0.5000 0.5000  8 Si 2.86
Si1 0.0000 0.5000 0.0000  2 Co 2.30
O1 0.0000 0.0000 0.5000  2 Co 1.69

## Properties
- Volume: 72 Å³ per cell
- Total magnetic moment: 1.19 Bohr magnetons per cell
- DFT total energy: -23.12 eV/f.u.